AlCoRu2C: optimized geometry, GGA-PBE.

The space group is P4/mmm (No. 123) and the conventional cell measures 4.0356, 4.0356 and 3.7057 Å, with angles of 90.00, 90.00 and 90.00 degrees. The distinct sites, in fractional coordinates, are Al at (0.0000, 0.0000, 0.0000), Co at (0.5000, 0.5000, 0.0000), Ru at (0.0000, 0.5000, 0.5000) and C at (0.5000, 0.5000, 0.5000).

The calculation puts the total DFT energy (no corrections) at -0.2898 Ha/atom. Its volume is 12.07 Å³ per atom. The density of states at the Fermi level comes out at 0.362 states/eV per atom. The energy relative to the elements comes out at -160 meV/atom.


Sm2Al2Co2C: optimized geometry, GGA-PBE.

The space group is C2/m (No. 12) and the conventional cell measures 11.0285, 4.0712 and 7.0848 Å, with angles of 90.00, 129.51 and 90.00 degrees. The distinct sites, in fractional coordinates, are Sm at (0.0540, 0.0000, 0.2858), Al at (0.1674, 0.5000, 0.7278), Co at (0.1919, 0.5000, 0.0906) and C at (0.0000, 0.5000, 0.0000).

The calculation puts the total DFT energy (no corrections) at -0.2272 Ha/atom. Its volume is 17.53 Å³ per atom. The density of states at the Fermi level comes out at 0.466 states/eV per atom. The energy relative to the elements comes out at -417 meV/atom.


Ta3Al2CoC: optimized geometry, GGA-PBE.

The space group is Fd-3m (No. 227, origin choice 2) and the conventional cell measures 11.6074, 11.6074 and 11.6074 Å, with angles of 90.00, 90.00 and 90.00 degrees. The distinct sites, in fractional coordinates, are Ta at (0.0636, 0.3750, 0.3750), Al at (0.0432, 0.0432, 0.7068), Co at (0.0000, 0.0000, 0.5000) and C at (0.0000, 0.0000, 0.0000).

The calculation puts the total DFT energy (no corrections) at -0.3329 Ha/atom. Its volume is 13.96 Å³ per atom. The density of states at the Fermi level comes out at 0.546 states/eV per atom. The energy relative to the elements comes out at -578 meV/atom.


TbAlCo2C: optimized geometry, GGA-PBE.

The space group is Cmcm (No. 63) and the conventional cell measures 3.8277, 10.6523 and 6.8439 Å, with angles of 90.00, 90.00 and 90.00 degrees. The distinct sites, in fractional coordinates, are Tb at (0.0000, 0.0532, 0.2500), Al at (0.0000, 0.2265, 0.7500), Co at (0.0000, 0.3397, 0.0591) and C at (0.0000, 0.5000, 0.0000).

The calculation puts the total DFT energy (no corrections) at -0.2480 Ha/atom. Its volume is 13.95 Å³ per atom. The density of states at the Fermi level comes out at 0.544 states/eV per atom. The energy relative to the elements comes out at -386 meV/atom.


AlCoTc2C: optimized geometry, GGA-PBE.

The space group is P4/mmm (No. 123) and the conventional cell measures 4.0724, 4.0724 and 3.7337 Å, with angles of 90.00, 90.00 and 90.00 degrees. The distinct sites, in fractional coordinates, are Al at (0.0000, 0.0000, 0.0000), Co at (0.5000, 0.5000, 0.0000), Tc at (0.0000, 0.5000, 0.5000) and C at (0.5000, 0.5000, 0.5000).

The calculation puts the total DFT energy (no corrections) at -0.3033 Ha/atom. Its volume is 12.38 Å³ per atom. The density of states at the Fermi level comes out at 1.158 states/eV per atom. The energy relative to the elements comes out at -92 meV/atom.


AlCo2TcC: optimized geometry, GGA-PBE.

The space group is P4/mmm (No. 123) and the conventional cell measures 3.7409, 3.7409 and 4.0628 Å, with angles of 90.00, 90.00 and 90.00 degrees. The distinct sites, in fractional coordinates, are Al at (0.0000, 0.0000, 0.0000), Co at (0.0000, 0.5000, 0.5000), Tc at (0.5000, 0.5000, 0.0000) and C at (0.5000, 0.5000, 0.5000).

The calculation puts the total DFT energy (no corrections) at -0.2821 Ha/atom. Its volume is 11.37 Å³ per atom. The density of states at the Fermi level comes out at 0.702 states/eV per atom. The energy relative to the elements comes out at -168 meV/atom.


ThAlCo2C: optimized geometry, GGA-PBE.

The space group is Cmcm (No. 63) and the conventional cell measures 3.9684, 10.9250 and 6.8382 Å, with angles of 90.00, 90.00 and 90.00 degrees. The distinct sites, in fractional coordinates, are Th at (0.0000, 0.0645, 0.2500), Al at (0.0000, 0.2183, 0.7500), Co at (0.0000, 0.3410, 0.0559) and C at (0.0000, 0.5000, 0.0000).

The calculation puts the total DFT energy (no corrections) at -0.2682 Ha/atom. Its volume is 14.82 Å³ per atom. The density of states at the Fermi level comes out at 0.659 states/eV per atom. The energy relative to the elements comes out at -378 meV/atom.


AlVCo2C: optimized geometry, GGA-PBE.

The space group is P4/mmm (No. 123) and the conventional cell measures 3.7935, 3.7935 and 3.9342 Å, with angles of 90.00, 90.00 and 90.00 degrees. The distinct sites, in fractional coordinates, are Al at (0.0000, 0.0000, 0.0000), V at (0.5000, 0.5000, 0.0000), Co at (0.0000, 0.5000, 0.5000) and C at (0.5000, 0.5000, 0.5000).

The calculation puts the total DFT energy (no corrections) at -0.2738 Ha/atom. Its volume is 11.32 Å³ per atom. The density of states at the Fermi level comes out at 0.814 states/eV per atom. The energy relative to the elements comes out at -191 meV/atom.


AlCoW2C: optimized geometry, GGA-PBE.

The space group is P4/mmm (No. 123) and the conventional cell measures 4.0948, 4.0948 and 3.9547 Å, with angles of 90.00, 90.00 and 90.00 degrees. The distinct sites, in fractional coordinates, are Al at (0.0000, 0.0000, 0.0000), Co at (0.5000, 0.5000, 0.0000), W at (0.0000, 0.5000, 0.5000) and C at (0.0000, 0.0000, 0.5000).

The calculation puts the total DFT energy (no corrections) at -0.3249 Ha/atom. Its volume is 13.26 Å³ per atom. The density of states at the Fermi level comes out at 0.948 states/eV per atom. The energy relative to the elements comes out at 356 meV/atom.


AlCr2C: optimized geometry, GGA-PBE.

The space group is R3m (No. 160, hexagonal axes) and the conventional cell measures 2.8423, 2.8423 and 19.0959 Å, with angles of 90.00, 90.00 and 120.00 degrees. The distinct sites, in fractional coordinates, are Al at (0.0000, 0.0000, 0.0000), Cr at (0.0000, 0.0000, 0.5572), Cr at (0.0000, 0.0000, 0.7778) and C at (0.0000, 0.0000, 0.1675).

The calculation puts the total DFT energy (no corrections) at -0.3024 Ha/atom. As for the offset from the most stable computed form: 13 meV per atom. Its volume is 11.13 Å³ per atom. The density of states at the Fermi level comes out at 0.865 states/eV per atom. The energy relative to the elements comes out at -176 meV/atom.


AlCr2C: optimized geometry, GGA-PBE.

The space group is P6_3/mmc (No. 194) and the conventional cell measures 2.8446, 2.8446 and 12.6872 Å, with angles of 90.00, 90.00 and 120.00 degrees. The distinct sites, in fractional coordinates, are Al at (0.3333, 0.6667, 0.2500), Cr at (0.3333, 0.6667, 0.5848) and C at (0.0000, 0.0000, 0.0000).

The calculation puts the total DFT energy (no corrections) at -0.3029 Ha/atom. As for the offset from the most stable computed form: 0 meV per atom. Its volume is 11.11 Å³ per atom. The density of states at the Fermi level comes out at 0.841 states/eV per atom. The energy relative to the elements comes out at -189 meV/atom.


AlCr2C: optimized geometry, GGA-PBE.

The space group is R-3m (No. 166, hexagonal axes) and the conventional cell measures 2.8434, 2.8434 and 19.4243 Å, with angles of 90.00, 90.00 and 120.00 degrees. The distinct sites, in fractional coordinates, are Al at (0.0000, 0.0000, 0.0000), Cr at (0.0000, 0.0000, 0.2218) and C at (0.0000, 0.0000, 0.5000).

The calculation puts the total DFT energy (no corrections) at -0.3011 Ha/atom. As for the offset from the most stable computed form: 48 meV per atom. Its volume is 11.34 Å³ per atom. The density of states at the Fermi level comes out at 0.620 states/eV per atom. The energy relative to the elements comes out at -141 meV/atom.